1.
Density functional theory data (PBE) for a geometry-optimized Ac6Ge2SeS3 structure.

Computed properties:
electronic total energy: -5.749 eV per atom
formation energy without anion corrections: -1.603 eV per atom
V: 31.317 Å³ per atom
SG: No. 12
calculated density: 7434 kg/m³

Cell: 4.4880 8.8584 9.9308 Å, 101.96 103.06 90.00°
Sites, in units of the cell vectors:
Ge  0.8355  0.6710  0.6709
Ge  0.1645  0.3290  0.3291
Ac  0.6674  0.5822  0.3347
Ac  0.3306  0.9135  0.6612
Ac  0.9990  0.7414  0.9981
Ac  0.6694  0.0865  0.3388
Ac  0.0010  0.2586  0.0019
Ac  0.3326  0.4178  0.6653
Se  0.5000  0.0000  0.0000
S  0.1654  0.8350  0.3309
S  0.5000  0.5000  0.0000
S  0.8346  0.1650  0.6691


2.
Density functional theory data (PBE) for a geometry-optimized Ac4Ge2SeS structure.

Computed properties:
electronic total energy: -5.527 eV per atom
formation energy without anion corrections: -1.367 eV per atom
V: 32.897 Å³ per atom
SG: No. 10
calculated density: 7346 kg/m³

Cell: 4.5481 7.8819 7.7963 Å, 109.67 90.00 90.00°
Sites, in units of the cell vectors:
Ge  0.0000  0.5000  0.5000
Ge  0.5000  0.0000  0.5000
Ac  0.5000  0.7516  0.7446
Ac  0.0000  0.2437  0.7420
Ac  0.5000  0.2484  0.2554
Ac  0.0000  0.7563  0.2580
S  0.0000  0.0000  0.0000
Se  0.5000  0.5000  0.0000


3.
Density functional theory data (PBE) for a geometry-optimized Ac4SiGeS2 structure.

Computed properties:
electronic total energy: -5.671 eV per atom
formation energy without anion corrections: -1.330 eV per atom
V: 31.893 Å³ per atom
SG: No. 74
calculated density: 6982 kg/m³

Cell: 8.9698 8.9698 8.9699 Å, 120.00 120.00 90.01°
Sites, in units of the cell vectors:
S  0.5000  0.5000  0.0000
S  0.5000  0.0000  0.5000
S  0.0000  0.0000  0.5000
S  0.5000  0.0000  0.0000
Ac  0.2494  0.2505  0.4975
Ac  0.7523  0.2496  0.0011
Ac  0.7496  0.2523  0.5011
Ac  0.7506  0.7495  0.5025
Ac  0.2504  0.7477  0.4989
Ac  0.2495  0.2506  0.0025
Ac  0.2478  0.7504  0.9989
Ac  0.7505  0.7494  0.9975
Si  0.0000  0.0000  0.0000
Si  0.5000  0.5000  0.5000
Ge  0.0000  0.5000  0.5000
Ge  0.0000  0.5000  0.0000


4.
Density functional theory data (PBE) for a geometry-optimized Ac4GeTe2S structure.

Computed properties:
electronic total energy: -5.433 eV per atom
formation energy without anion corrections: -1.501 eV per atom
V: 34.701 Å³ per atom
SG: No. 10
calculated density: 7584 kg/m³

Cell: 4.5798 7.8392 8.1811 Å, 109.06 90.00 90.00°
Sites, in units of the cell vectors:
Ac  0.0000  0.7411  0.2204
Ac  0.0000  0.2589  0.7796
Ac  0.5000  0.7587  0.7779
Ac  0.5000  0.2413  0.2221
Ge  0.0000  0.0000  0.0000
Te  0.5000  0.0000  0.5000
Te  0.0000  0.5000  0.5000
S  0.5000  0.5000  0.0000


5.
Density functional theory data (PBE) for a geometry-optimized Ac6Ge3TeS2 structure.

Computed properties:
electronic total energy: -5.461 eV per atom
formation energy without anion corrections: -1.303 eV per atom
V: 33.640 Å³ per atom
SG: No. 12
calculated density: 7288 kg/m³

Cell: 4.5663 9.1386 10.1804 Å, 102.49 102.96 90.00°
Sites, in units of the cell vectors:
Ge  0.5000  0.5000  0.0000
Ge  0.8352  0.1692  0.6705
Ge  0.1648  0.8308  0.3295
Ac  0.0011  0.2675  0.0022
Ac  0.9989  0.7325  0.9978
Ac  0.6735  0.0848  0.3470
Ac  0.3265  0.9152  0.6530
Ac  0.6664  0.5851  0.3328
Ac  0.3336  0.4149  0.6672
Te  0.5000  0.0000  0.0000
S  0.1685  0.3361  0.3371
S  0.8315  0.6639  0.6629


6.
Density functional theory data (PBE) for a geometry-optimized Ac4GeTeS2 structure.

Computed properties:
electronic total energy: -5.642 eV per atom
formation energy without anion corrections: -1.586 eV per atom
V: 32.386 Å³ per atom
SG: No. 10
calculated density: 7514 kg/m³

Cell: 4.5136 7.7002 7.9112 Å, 70.44 90.00 90.00°
Sites, in units of the cell vectors:
Te  0.5000  0.5000  0.0000
Ac  0.5000  0.7572  0.2607
Ac  0.0000  0.2328  0.2711
Ac  0.0000  0.7672  0.7289
Ac  0.5000  0.2428  0.7393
S  0.0000  0.0000  0.0000
S  0.5000  0.0000  0.5000
Ge  0.0000  0.5000  0.5000


7.
Density functional theory data (PBE) for a geometry-optimized Ac6GeTe3S2 structure.

Computed properties:
electronic total energy: -5.502 eV per atom
formation energy without anion corrections: -1.590 eV per atom
V: 34.034 Å³ per atom
SG: No. 12
calculated density: 7650 kg/m³

Cell: 7.8120 7.8120 8.1521 Å, 99.19 99.19 119.97°
Sites, in units of the cell vectors:
Te  0.8344  0.1656  0.5000
Te  0.5000  0.5000  0.5000
Te  0.1656  0.8344  0.5000
Ac  0.5924  0.9271  0.7812
Ac  0.0729  0.4076  0.2188
Ac  0.7378  0.7378  0.2180
Ac  0.4076  0.0729  0.2188
Ac  0.9271  0.5924  0.7812
Ac  0.2622  0.2622  0.7820
Ge  0.0000  0.0000  0.0000
S  0.6670  0.3330  0.0000
S  0.3330  0.6670  0.0000


8.
Density functional theory data (PBE) for a geometry-optimized Ac8GeTe4S3 structure.

Computed properties:
electronic total energy: -5.529 eV per atom
formation energy without anion corrections: -1.627 eV per atom
V: 33.703 Å³ per atom
SG: No. 166
calculated density: 7684 kg/m³

Cell: 8.9970 9.2819 8.9972 Å, 118.99 120.00 90.00°
Sites, in units of the cell vectors:
Ac  0.7371  0.7176  0.9774
Ac  0.7598  0.2824  0.0226
Ac  0.2629  0.2824  0.0226
Ac  0.7598  0.2825  0.5195
Ac  0.7381  0.7144  0.4762
Ac  0.2402  0.7175  0.4805
Ac  0.2402  0.7176  0.9774
Ac  0.2619  0.2856  0.5238
Te  0.5000  0.0000  0.0000
Te  0.0000  0.0000  0.5000
Te  0.5000  0.0000  0.5000
Te  0.0000  0.0000  0.0000
S  0.5000  0.5000  0.5000
S  0.0000  0.5000  0.5000
S  0.5000  0.5000  0.0000
Ge  0.0000  0.5000  0.0000


9.
Density functional theory data (PBE) for a geometry-optimized Ac8Ge3Te4S structure.

Computed properties:
electronic total energy: -5.331 eV per atom
formation energy without anion corrections: -1.368 eV per atom
V: 35.700 Å³ per atom
SG: No. 166
calculated density: 7490 kg/m³

Cell: 9.2340 9.3949 9.2339 Å, 119.44 120.00 90.00°
Sites, in units of the cell vectors:
Ac  0.2424  0.7233  0.9809
Ac  0.7576  0.2767  0.0191
Ac  0.7385  0.7233  0.9809
Ac  0.7419  0.7255  0.4837
Ac  0.7575  0.2766  0.5151
Ac  0.2615  0.2767  0.0191
Ac  0.2581  0.2745  0.5163
Ac  0.2425  0.7234  0.4849
S  0.0000  0.5000  0.0000
Te  0.0000  0.0000  0.0000
Te  0.5000  0.0000  0.0000
Te  0.0000  0.0000  0.5000
Te  0.5000  0.0000  0.5000
Ge  0.0000  0.5000  0.5000
Ge  0.5000  0.5000  0.5000
Ge  0.5000  0.5000  0.0000


10.
Density functional theory data (PBE) for a geometry-optimized Ac4Ge2TeS structure.

Computed properties:
electronic total energy: -5.384 eV per atom
formation energy without anion corrections: -1.267 eV per atom
V: 34.488 Å³ per atom
SG: No. 10
calculated density: 7300 kg/m³

Cell: 4.5890 7.9988 7.9672 Å, 109.37 90.00 90.00°
Sites, in units of the cell vectors:
Ge  0.0000  0.5000  0.5000
Ge  0.5000  0.0000  0.5000
Ac  0.0000  0.7649  0.2682
Ac  0.5000  0.2444  0.2609
Ac  0.5000  0.7556  0.7391
Ac  0.0000  0.2351  0.7318
Te  0.5000  0.5000  0.0000
S  0.0000  0.0000  0.0000


calculated density of number 9 (Ac8Ge3Te4S)?
7490 kg/m³


Among the records above, which one has the highest electronic total energy?
Ac8Ge3Te4S


Which formula does entry 10 have?
Ac4Ge2TeS


Look up the formation energy without anion corrections of the eighth one.
-1.627 eV per atom